{
  "formula": "K3Pu2NiO9",
  "functional": "PBE with a Hubbard U",
  "state": "relaxed",
  "lattice": [[5.8697, 0.0000, 0.0000], [-2.9349, 5.0833, 0.0000], [0.0000, 0.0000, 7.2226]],
  "species": ["O", "O", "O", "Pu", "O", "O", "Pu", "O", "K", "Ni", "O", "K", "O", "O", "K"],
  "frac_coords": [[0.1707, 0.3414, 0.3294], [0.8293, 0.1707, 0.6706], [0.3414, 0.1707, 0.6706], [0.6667, 0.3333, 0.8238], [0.5000, 0.5000, 0.0000], [0.8293, 0.6586, 0.6706], [0.3333, 0.6667, 0.1762], [0.1707, 0.8293, 0.3294], [0.0000, 0.0000, 0.0000], [0.0000, 0.0000, 0.5000], [0.6586, 0.8293, 0.3294], [0.6667, 0.3333, 0.3424], [0.5000, 0.0000, 0.0000], [0.0000, 0.5000, 0.0000], [0.3333, 0.6667, 0.6576]],
  "m_tot_mub_per_cell": 5.0,
  "total_energy_ev_per_cell": -110.676,
  "vol_a3_per_cell": 215.5
}

=====

{
  "formula": "KPuNi2O5",
  "functional": "PBE with a Hubbard U",
  "state": "relaxed",
  "lattice": [[-0.8576, 4.6074, -0.1787], [-5.6802, -1.0894, -0.8277], [2.5792, -1.7065, 5.1668]],
  "species": ["O", "O", "Pu", "O", "O", "Ni", "O", "Ni", "K"],
  "frac_coords": [[0.3425, 0.6037, 0.6851], [0.3425, 0.0814, 0.6851], [0.5000, 0.0000, 0.0000], [0.6575, 0.9186, 0.3149], [0.6575, 0.3963, 0.3149], [0.2175, 0.2175, 0.4349], [0.0000, 0.0000, 0.0000], [0.7825, 0.7825, 0.5651], [0.0000, 0.5000, 0.0000]],
  "m_tot_mub_per_cell": 1.0,
  "total_energy_ev_per_cell": -59.508,
  "vol_a3_per_cell": 129.2
}